{"formula": "Pr4AlIn", "functional": "PBE", "state": "optimized geometry", "lattice_angstrom": [[4.579, -2.642, 0.000], [4.579, 2.642, 0.000], [-3.077, 0.000, 8.704]], "species": ["Pr", "Pr", "Pr", "Pr", "Al", "In"], "fractional_positions": [[0.121, 0.121, 0.363], [0.372, 0.372, 0.115], [0.628, 0.628, 0.885], [0.879, 0.879, 0.637], [0.000, 0.000, 0.000], [0.500, 0.500, 0.500]], "e_form_ev_per_fu": -0.44, "space_group": "C2/m"}

=====

{"formula": "Pm4YEr3", "functional": "PBE", "state": "optimized geometry", "lattice_angstrom": [[12.920, -2.841, 0.000], [12.920, 2.841, 0.000], [-0.007, 0.000, 3.640]], "species": ["Pm", "Pm", "Pm", "Pm", "Y", "Er", "Er", "Er"], "fractional_positions": [[0.103, 0.103, 0.000], [0.223, 0.223, 0.999], [0.777, 0.777, 0.001], [0.897, 0.897, 0.000], [0.000, 0.000, 0.500], [0.350, 0.350, 0.500], [0.500, 0.500, 0.000], [0.650, 0.650, 0.500]], "e_form_ev_per_fu": 1.62, "space_group": "C2/m"}

=====

{"formula": "HgRuF2", "functional": "PBE", "state": "optimized geometry", "lattice_angstrom": [[1.415, 0.817, 8.785], [-1.415, 0.817, 8.785], [0.000, -1.633, 8.785]], "species": ["Hg", "Ru", "F", "F"], "fractional_positions": [[0.000, 0.000, 0.000], [0.500, 0.500, 0.500], [0.427, 0.427, 0.427], [0.573, 0.573, 0.573]], "space_group": "R-3m", "formation_energy_uncorrected_ev_per_atom": -0.82}

=====

{"formula": "PuBiI2", "functional": "PBE", "state": "optimized geometry", "lattice_angstrom": [[1.943, 1.122, 11.353], [-1.943, 1.122, 11.353], [0.000, -2.244, 11.353]], "species": ["Pu", "Bi", "I", "I"], "fractional_positions": [[0.000, 0.000, 0.000], [0.500, 0.500, 0.500], [0.397, 0.397, 0.397], [0.603, 0.603, 0.603]], "space_group": "R-3m", "formation_energy_uncorrected_ev_per_atom": -0.44}

=====

{"formula": "Ce2DyAs4Rh3", "functional": "PBE", "state": "optimized geometry", "lattice_angstrom": [[4.341, 0.000, 0.000], [0.000, 4.341, 0.000], [0.000, 0.000, 10.760]], "species": ["Ce", "Ce", "Dy", "As", "As", "As", "As", "Rh", "Rh", "Rh"], "fractional_positions": [[0.000, 0.500, 0.221], [0.500, 0.000, 0.779], [0.000, 0.000, 0.500], [0.000, 0.000, 0.000], [0.000, 0.500, 0.663], [0.500, 0.000, 0.337], [0.500, 0.500, 0.000], [0.000, 0.500, 0.892], [0.500, 0.000, 0.108], [0.500, 0.500, 0.500]], "e_form_ev_per_fu": -9.51, "space_group": "P-4m2"}

=====

{"formula": "Cu2TcBr", "functional": "PBE", "state": "optimized geometry", "lattice_angstrom": [[3.073, 0.000, 0.000], [0.000, 3.073, 0.000], [0.000, 0.000, 6.686]], "species": ["Cu", "Cu", "Tc", "Br"], "fractional_positions": [[0.000, 0.000, 0.000], [0.500, 0.500, 0.177], [0.000, 0.000, 0.408], [0.500, 0.500, 0.639]], "space_group": "P4mm", "formation_energy_uncorrected_ev_per_atom": 0.54}

=====

{"formula": "Ca2ZrMn", "functional": "PBE", "state": "optimized geometry", "lattice_angstrom": [[1.689, 0.975, 10.757], [-1.689, 0.975, 10.757], [0.000, -1.950, 10.757]], "species": ["Ca", "Ca", "Zr", "Mn"], "fractional_positions": [[0.244, 0.244, 0.244], [0.756, 0.756, 0.756], [0.000, 0.000, 0.000], [0.500, 0.500, 0.500]], "e_form_ev_per_fu": 2.25, "space_group": "R-3m"}

=====

{"formula": "CsAl2Zn", "functional": "PBE", "state": "optimized geometry", "lattice_angstrom": [[-2.882, 2.882, 8.436], [2.882, -2.882, 8.436], [2.882, 2.882, -8.436]], "species": ["Cs", "Cs", "Al", "Al", "Al", "Al", "Zn", "Zn"], "fractional_positions": [[0.375, 0.625, 0.750], [0.625, 0.375, 0.250], [0.000, 0.000, 0.000], [0.000, 0.000, 0.500], [0.000, 0.500, 0.000], [0.500, 0.000, 0.500], [0.125, 0.875, 0.250], [0.875, 0.125, 0.750]], "e_form_ev_per_fu": 1.44, "space_group": "I4_1/amd"}

=====

{"formula": "LaAl2Pt", "functional": "PBE", "state": "optimized geometry", "lattice_angstrom": [[2.870, -4.959, 0.000], [2.870, 4.959, 0.000], [0.000, 0.000, 2.943]], "species": ["La", "Al", "Al", "Pt"], "fractional_positions": [[0.000, 0.000, 0.000], [0.000, 0.500, 0.500], [0.500, 0.000, 0.500], [0.500, 0.500, 0.000]], "e_form_ev_per_fu": -0.77, "space_group": "Cmmm"}

=====

{"formula": "PaTcBi", "functional": "PBE", "state": "optimized geometry", "lattice_angstrom": [[-1.680, 1.680, 5.991], [1.680, -1.680, 5.991], [1.680, 1.680, -5.991]], "species": ["Pa", "Tc", "Bi"], "fractional_positions": [[0.000, 0.000, 0.000], [0.640, 0.640, 0.000], [0.288, 0.288, 0.000]], "e_form_ev_per_fu": 0.04, "space_group": "I4mm"}

=====

{"formula": "LaEr12Th6", "functional": "PBE", "state": "optimized geometry", "lattice_angstrom": [[7.390, 4.267, 3.514], [-7.390, 4.267, 3.514], [0.000, -8.534, 3.514]], "species": ["La", "Er", "Er", "Er", "Er", "Er", "Er", "Er", "Er", "Er", "Er", "Er", "Er", "Th", "Th", "Th", "Th", "Th", "Th"], "fractional_positions": [[0.000, 0.000, 0.000], [0.096, 0.336, 0.336], [0.112, 0.500, 0.888], [0.112, 0.888, 0.500], [0.336, 0.096, 0.336], [0.336, 0.336, 0.096], [0.500, 0.112, 0.888], [0.500, 0.888, 0.112], [0.664, 0.664, 0.904], [0.664, 0.904, 0.664], [0.888, 0.112, 0.500], [0.888, 0.500, 0.112], [0.904, 0.664, 0.664], [0.296, 0.679, 0.679], [0.321, 0.321, 0.704], [0.321, 0.704, 0.321], [0.679, 0.296, 0.679], [0.679, 0.679, 0.296], [0.704, 0.321, 0.321]], "e_form_ev_per_fu": 9.71, "space_group": "R-3m"}

=====

{"formula": "GaNiP3", "functional": "PBE", "state": "optimized geometry", "lattice_angstrom": [[4.440, 0.000, 0.000], [0.000, 4.440, 0.000], [0.000, 0.000, 4.440]], "species": ["Ga", "Ni", "P", "P", "P"], "fractional_positions": [[0.000, 0.000, 0.000], [0.500, 0.500, 0.500], [0.000, 0.500, 0.500], [0.500, 0.000, 0.500], [0.500, 0.500, 0.000]], "e_form_ev_per_fu": 2.92, "space_group": "Pm-3m"}

=====

no.,volume (Å³ per atom),magnetization (μB per formula unit)
1,35.10,0.00
2,33.40,0.00
3,15.23,0.91
4,37.13,5.91
5,20.28,1.10
6,15.79,0.00
7,26.57,3.52
8,35.03,0.00
9,20.94,0.00
10,22.55,0.00
11,34.99,0.00
12,17.50,0.00